A geometry-optimized ZnTe2Rh structure, computed with PBE.

POSCAR file:
```
ZnTe2Rh
1.0
3.261 0.000 0.000
0.000 5.009 0.000
0.000 0.000 5.009
Rh Te Zn
1 2 1
direct
0.500 0.000 0.500 Rh
0.000 0.000 0.000 Te
0.000 0.500 0.500 Te
0.500 0.500 0.000 Zn
```

Results
Fermi-level density of states: 1.7 states/eV per cell
magnetization: 0.00 μB per cell
raw formation energy: 174 meV per atom
energy: -3.553 eV/atom